Computed, not measured: crystalline LaHo6Tm3 at its relaxed geometry at the GGA-PBE level of DFT.

The value obtained for the energy above the lowest structure with this stoichiometry is 127 meV/atom. The value obtained for the formation energy is 279 meV/atom. The calculation puts the calculated density at 8.443 g cm⁻³. Its density of states at the Fermi level is 20.930 states/eV/f.u. As for the total magnetic moment: 0.0 μB/cell.

Cell lengths 6.852, 6.852, 6.852 Å; angles 90.62, 90.62, 90.62 degrees
Positions (direct):
La 0.000 0.000 0.000
Ho 0.166 0.829 0.495
Ho 0.337 0.661 0.995
Ho 0.495 0.166 0.829
Ho 0.661 0.995 0.337
Ho 0.829 0.495 0.166
Ho 0.995 0.337 0.661
Tm 0.259 0.259 0.259
Tm 0.503 0.503 0.503
Tm 0.751 0.751 0.751